Entry from Alexandria: a geometry-optimized Pm3Y2ThS6 structure (PBE).

## Properties
V: 271.22 Å³ per cell
E_tot: -6.93 eV/atom

Cell: 3.9926 8.0171 8.9275 Å, 102.81 102.92 90.00°
With the nearest neighbours (Å) after each atom.
Sites, in units of the cell vectors:
S 0.0035 0.2543 0.0071  1 Y 2.75, 3 Pm 2.82-2.84, 2 Th 2.84
S 0.9965 0.7457 0.9929  1 Y 2.75, 3 Pm 2.82-2.84, 2 Th 2.84
S 0.3300 0.4227 0.6600  3 Y 2.79-2.80, 3 Pm 2.88-2.89
S 0.6688 0.0922 0.3376  2 Y 2.77, 3 Pm 2.84-2.86, 1 Th 2.86
S 0.6700 0.5773 0.3400  3 Y 2.79-2.80, 3 Pm 2.88-2.89
S 0.3312 0.9078 0.6624  2 Y 2.77, 3 Pm 2.84-2.86, 1 Th 2.86
Pm 0.1638 0.8339 0.3276  6 S 2.84-2.89
Pm 0.8362 0.1661 0.6724  6 S 2.84-2.89
Pm 0.5000 0.5000 0.0000  6 S 2.82-2.88
Y 0.1657 0.3309 0.3314  6 S 2.75-2.80
Y 0.8343 0.6691 0.6686  6 S 2.75-2.80
Th 0.5000 0.0000 0.0000  6 S 2.84-2.86

=====

Entry from Alexandria: a geometry-optimized PmY3Th4S8 structure (PBE).

## Properties
V: 360.26 Å³ per cell
E_tot: -7.34 eV/atom

Cell: 7.8654 8.1145 7.8649 Å, 118.99 120.00 90.00°
With the nearest neighbours (Å) after each atom.
Sites, in units of the cell vectors:
Pm 0.0000 0.5000 0.0000  6 S 2.81
S 0.2549 0.2648 0.5099  3 Y 2.77, 3 Th 2.89
S 0.7515 0.2617 0.5031  2 Y 2.77, 1 Pm 2.81, 3 Th 2.85-2.89
S 0.2485 0.7383 0.4969  2 Y 2.77, 1 Pm 2.81, 3 Th 2.85-2.89
S 0.7451 0.7352 0.4901  3 Y 2.77, 3 Th 2.89
S 0.7515 0.2616 0.0101  2 Y 2.77, 1 Pm 2.81, 3 Th 2.85-2.89
S 0.2586 0.2616 0.0101  2 Y 2.77, 1 Pm 2.81, 3 Th 2.85-2.89
S 0.2485 0.7384 0.9899  2 Y 2.77, 1 Pm 2.81, 3 Th 2.85-2.89
S 0.7414 0.7384 0.9899  2 Y 2.77, 1 Pm 2.81, 3 Th 2.85-2.89
Y 0.5000 0.5000 0.5000  6 S 2.77
Y 0.5000 0.5000 0.0000  6 S 2.77
Y 0.0000 0.5000 0.5000  6 S 2.77
Th 0.5000 0.0000 0.5000  6 S 2.89
Th 0.0000 0.0000 0.0000  6 S 2.89
Th 0.5000 0.0000 0.0000  6 S 2.85
Th 0.0000 0.0000 0.5000  6 S 2.89

=====

Entry from Alexandria: a geometry-optimized Pm4Y3ThS8 structure (PBE).

## Properties
V: 360.36 Å³ per cell
E_tot: -6.91 eV/atom

Cell: 7.9858 7.9894 7.9860 Å, 119.99 120.00 90.00°
With the nearest neighbours (Å) after each atom.
Sites, in units of the cell vectors:
S 0.7423 0.7424 0.9924  2 Y 2.78, 3 Pm 2.82-2.87, 1 Th 2.83
S 0.7500 0.2576 0.4999  2 Y 2.78, 3 Pm 2.82-2.87, 1 Th 2.83
S 0.7500 0.2576 0.0076  2 Y 2.78, 3 Pm 2.82-2.87, 1 Th 2.83
S 0.2538 0.2615 0.5076  3 Y 2.78, 3 Pm 2.87
S 0.2500 0.7424 0.5001  2 Y 2.78, 3 Pm 2.82-2.87, 1 Th 2.83
S 0.2500 0.7424 0.9924  2 Y 2.78, 3 Pm 2.82-2.87, 1 Th 2.83
S 0.2577 0.2576 0.0076  2 Y 2.78, 3 Pm 2.82-2.87, 1 Th 2.83
S 0.7462 0.7385 0.4924  3 Y 2.78, 3 Pm 2.87
Pm 0.5000 0.0000 0.0000  6 S 2.82
Pm 0.5000 0.0000 0.5000  6 S 2.87
Pm 0.0000 0.0000 0.5000  6 S 2.87
Pm 0.0000 0.0000 0.0000  6 S 2.87
Y 0.0000 0.5000 0.5000  6 S 2.78
Y 0.5000 0.5000 0.0000  6 S 2.78
Y 0.5000 0.5000 0.5000  6 S 2.78
Th 0.0000 0.5000 0.0000  6 S 2.83

=====

Entry from Alexandria: a geometry-optimized Pm2YTh3S6 structure (PBE).

## Properties
V: 275.26 Å³ per cell
E_tot: -7.16 eV/atom

Cell: 6.8866 6.8866 7.0492 Å, 99.33 99.33 119.57°
With the nearest neighbours (Å) after each atom.
Sites, in units of the cell vectors:
S 0.0802 0.4070 0.2412  1 Y 2.77, 2 Pm 2.83, 3 Th 2.86-2.89
S 0.7554 0.7554 0.2460  1 Y 2.79, 2 Pm 2.84, 3 Th 2.87-2.90
S 0.2446 0.2446 0.7540  1 Y 2.79, 2 Pm 2.84, 3 Th 2.87-2.90
S 0.4070 0.0802 0.2412  1 Y 2.77, 2 Pm 2.83, 3 Th 2.86-2.89
S 0.9198 0.5930 0.7588  1 Y 2.77, 2 Pm 2.83, 3 Th 2.86-2.89
S 0.5930 0.9198 0.7588  1 Y 2.77, 2 Pm 2.83, 3 Th 2.86-2.89
Pm 0.6662 0.3338 0.0000  6 S 2.83-2.84
Pm 0.3338 0.6662 0.0000  6 S 2.83-2.84
Th 0.8300 0.1700 0.5000  6 S 2.86-2.89
Th 0.1700 0.8300 0.5000  6 S 2.86-2.89
Th 0.5000 0.5000 0.5000  6 S 2.86-2.90
Y 0.0000 0.0000 0.0000  6 S 2.77-2.79

=====

Entry from Alexandria: a geometry-optimized PmTiS2 structure (PBE).

## Properties
V: 76.05 Å³ per cell
E_tot: -6.79 eV/atom

Cell: 3.7795 3.7795 6.5234 Å, 73.16 73.16 60.00°
With the nearest neighbours (Å) after each atom.
Sites, in units of the cell vectors:
Ti 0.0000 0.0000 0.0000  6 S 2.54
S 0.2624 0.2624 0.2128  3 Ti 2.54, 3 Pm 2.81
S 0.7376 0.7376 0.7872  3 Ti 2.54, 3 Pm 2.81
Pm 0.5000 0.5000 0.5000  6 S 2.81

=====

Entry from Alexandria: a geometry-optimized Pm6Ti3S14 structure (PBE).

## Properties
V: 516.97 Å³ per cell
E_tot: -6.56 eV/atom

Cell: 5.8314 10.1177 10.1177 Å, 120.00 90.00 90.00°
With the nearest neighbours (Å) after each atom.
Sites, in units of the cell vectors:
Ti 0.3404 0.3333 0.6667  4 S 2.26-2.27
Ti 0.8355 0.0000 0.0000  4 S 2.26-2.27
Ti 0.4751 0.6667 0.3333  6 S 2.53-2.55
S 0.9818 0.1522 0.9148  1 Ti 2.27
S 0.4874 0.1831 0.7531  1 Ti 2.27
S 0.9818 0.7626 0.8478  1 Ti 2.27
S 0.7130 0.4248 0.2425  1 Ti 2.55, 2 Pm 2.81-2.84
S 0.9818 0.0852 0.2374  1 Ti 2.27
S 0.2465 0.5123 0.0908  1 Ti 2.53, 1 Pm 2.81
S 0.7130 0.8177 0.5752  1 Ti 2.55, 2 Pm 2.81-2.84
S 0.2465 0.9092 0.4215  1 Ti 2.53, 1 Pm 2.81
S 0.4874 0.5701 0.8169  1 Ti 2.27
S 0.4874 0.2469 0.4299  1 Ti 2.27
S 0.4475 0.0000 0.0000  1 Ti 2.26
S 0.9527 0.3333 0.6667  1 Ti 2.26
S 0.2465 0.5785 0.4877  1 Ti 2.53, 1 Pm 2.81
S 0.7130 0.7575 0.1823  1 Ti 2.55, 2 Pm 2.81-2.84
Pm 0.7509 0.4396 0.9736  8 S 2.81-3.12
Pm 0.2511 0.8945 0.6953  7 S 2.81-3.01
Pm 0.7509 0.5339 0.5604  8 S 2.81-3.12
Pm 0.2511 0.3047 0.1992  7 S 2.81-3.01
Pm 0.7509 0.0264 0.4661  8 S 2.81-3.12
Pm 0.2511 0.8008 0.1055  7 S 2.81-3.01

=====

Entry from Alexandria: a geometry-optimized Pm3TiTl4S8 structure (PBE).

## Properties
V: 421.04 Å³ per cell
E_tot: -5.33 eV/atom

Cell: 8.0436 8.8347 8.0429 Å, 117.08 120.00 90.00°
With the nearest neighbours (Å) after each atom.
Sites, in units of the cell vectors:
S 0.7814 0.3048 0.0234  1 Ti 2.59, 2 Pm 2.83
S 0.2186 0.6952 0.9766  1 Ti 2.59, 2 Pm 2.83
S 0.7359 0.7077 0.4718  3 Pm 2.80
S 0.2421 0.3048 0.0234  1 Ti 2.59, 2 Pm 2.83
S 0.2187 0.6952 0.4374  1 Ti 2.59, 2 Pm 2.83
S 0.7579 0.6952 0.9766  1 Ti 2.59, 2 Pm 2.83
S 0.7813 0.3048 0.5626  1 Ti 2.59, 2 Pm 2.83
S 0.2641 0.2923 0.5282  3 Pm 2.80
Pm 0.5000 0.5000 0.5000  6 S 2.80-2.83
Pm 0.5000 0.5000 0.0000  6 S 2.80-2.83
Pm 0.0000 0.5000 0.5000  6 S 2.80-2.83
Tl 0.5000 0.0000 0.5000  6 S 3.20
Tl 0.0000 0.0000 0.0000  6 S 3.20
Tl 0.0000 0.0000 0.5000  6 S 3.20
Tl 0.5000 0.0000 0.0000  6 S 3.39
Ti 0.0000 0.5000 0.0000  6 S 2.59

=====

Entry from Alexandria: a geometry-optimized Pm2TiTl3S6 structure (PBE).

## Properties
V: 308.56 Å³ per cell
E_tot: -5.36 eV/atom

Cell: 6.8870 6.8870 7.8562 Å, 98.49 98.49 119.93°
With the nearest neighbours (Å) after each atom.
Sites, in units of the cell vectors:
Tl 0.1720 0.8280 0.5000  6 S 3.17-3.36
Tl 0.8280 0.1720 0.5000  6 S 3.17-3.36
Tl 0.5000 0.5000 0.5000  6 S 3.18-3.34
Pm 0.3346 0.6654 0.0000  6 S 2.82-2.83
Pm 0.6654 0.3346 0.0000  6 S 2.82-2.83
Ti 0.0000 0.0000 0.0000  6 S 2.54-2.61
S 0.0641 0.3674 0.1933  1 Ti 2.54, 2 Pm 2.82
S 0.7617 0.7617 0.2038  1 Ti 2.61, 2 Pm 2.83
S 0.6326 0.9359 0.8067  1 Ti 2.54, 2 Pm 2.82
S 0.9359 0.6326 0.8067  1 Ti 2.54, 2 Pm 2.82
S 0.2383 0.2383 0.7962  1 Ti 2.61, 2 Pm 2.83
S 0.3674 0.0641 0.1933  1 Ti 2.54, 2 Pm 2.82

=====

Entry from Alexandria: a geometry-optimized Pm2TiTl2S6 structure (PBE).

## Properties
V: 301.91 Å³ per cell
E_tot: -5.63 eV/atom

Cell: 6.8116 6.8116 7.8271 Å, 98.67 98.67 119.41°
With the nearest neighbours (Å) after each atom.
Sites, in units of the cell vectors:
S 0.7726 0.7726 0.6955  1 Ti 2.49
S 0.0668 0.3655 0.6928  1 Ti 2.50, 1 Pm 2.80
S 0.9332 0.6345 0.3072  1 Ti 2.50, 1 Pm 2.80
S 0.2274 0.2274 0.3045  1 Ti 2.49
S 0.6345 0.9332 0.3072  1 Ti 2.50, 1 Pm 2.80
S 0.3655 0.0668 0.6928  1 Ti 2.50, 1 Pm 2.80
Pm 0.3331 0.6669 0.5000  6 S 2.80-2.83
Pm 0.6669 0.3331 0.5000  6 S 2.80-2.83
Tl 0.8294 0.1706 0.0000  6 S 3.15-3.36
Tl 0.1706 0.8294 0.0000  6 S 3.15-3.36
Ti 0.0000 0.0000 0.5000  6 S 2.49-2.50

=====

Entry from Alexandria: a geometry-optimized Pm2TlS4 structure (PBE).

## Properties
V: 202.21 Å³ per cell
E_tot: -5.48 eV/atom

Cell: 4.1261 7.2168 8.0883 Å, 118.66 104.78 90.00°
With the nearest neighbours (Å) after each atom.
Sites, in units of the cell vectors:
Tl 0.0000 0.0000 0.0000  6 S 2.96-3.04
S 0.3505 0.7103 0.7010  3 Pm 2.82-2.90, 2 Tl 3.04
S 0.8669 0.1811 0.7337  3 Pm 2.76-2.86, 1 Tl 2.96
S 0.1331 0.8189 0.2663  3 Pm 2.76-2.86, 1 Tl 2.96
S 0.6495 0.2897 0.2990  3 Pm 2.82-2.90, 2 Tl 3.04
Pm 0.7266 0.7347 0.4531  6 S 2.76-2.90
Pm 0.2734 0.2653 0.5469  6 S 2.76-2.90

=====

Entry from Alexandria: a geometry-optimized Pm2TlS structure (PBE).

## Properties
V: 110.35 Å³ per cell
Energy above the most stable polymorph in this dataset: 0.000 eV per atom
E_tot: -5.19 eV/atom

Cell: 3.9769 3.9769 8.3771 Å, 76.27 76.27 60.00°
With the nearest neighbours (Å) after each atom.
Sites, in units of the cell vectors:
Pm 0.2347 0.2347 0.2960  3 S 2.82
Pm 0.7653 0.7653 0.7040  3 S 2.82
Tl 0.0000 0.0000 0.0000  6 Pm 3.31
S 0.5000 0.5000 0.5000  6 Pm 2.82

=====

Entry from Alexandria: a geometry-optimized PmTlS2 structure (PBE).

## Properties
V: 97.64 Å³ per cell
Energy above the most stable polymorph in this dataset: 0.235 eV per atom
E_tot: -5.07 eV/atom

Cell: 3.5873 3.5873 7.5877 Å, 90.00 90.00 90.00°
With the nearest neighbours (Å) after each atom.
Sites, in units of the cell vectors:
S 0.0000 0.0000 0.2067  4 Pm 2.98, 1 S 3.14
S 0.0000 0.0000 0.7933  4 Pm 2.98, 1 S 3.14
Pm 0.5000 0.5000 0.0000  8 S 2.98
Tl 0.5000 0.5000 0.5000  8 S 3.37, 4 Tl 3.59

=====

Calculated E_form (uncorrected), -1982 -1917 -1988 -1915 -1563 -1778 -1291 -1250 -1368 -1429 -1192 -1230 meV per atom (same order as the records).